Record 1
## Tb5Tl2Ag2 (PBE)

Data for a relaxed Tb5Tl2Ag2 crystal. Values from VASP.

Geometry as Quantum ESPRESSO input:
```
&SYSTEM
  ibrav = 0, nat = 18, ntyp = 3
/
ATOMIC_SPECIES
Tb 158.93 Tb.upf
Tl 204.38 Tl.upf
Ag 107.87 Ag.upf
CELL_PARAMETERS angstrom
7.340 0.000 0.000
0.000 8.683 0.000
0.000 -4.341 7.933
ATOMIC_POSITIONS angstrom
Tb 0.000 0.000 0.000
Tb 3.670 4.341 0.000
Tb 6.204 5.935 2.110
Tb 1.136 2.747 2.110
Tb 2.534 7.088 2.110
Tb 4.806 1.594 2.110
Tb 1.136 -1.594 5.823
Tb 6.204 1.594 5.823
Tb 4.806 -2.747 5.823
Tb 2.534 2.747 5.823
Tl 0.000 0.000 3.323
Tl 3.670 4.341 3.323
Tl 0.000 4.341 4.610
Tl 3.670 0.000 4.610
Ag 4.608 7.582 0.000
Ag 2.733 1.101 0.000
Ag 0.937 5.442 0.000
Ag 6.403 3.240 0.000
```

Computed properties:
calculated formation energy	-0.238	eV per atom
DOS(E_F)	19.12	states/eV per cell

---

Record 2
## Mg4InGa5 (PBE)

Data for a relaxed Mg4InGa5 crystal. Values from VASP.

Geometry as Quantum ESPRESSO input:
```
&SYSTEM
  ibrav = 0, nat = 10, ntyp = 3
/
ATOMIC_SPECIES
Mg 24.30 Mg.upf
In 114.82 In.upf
Ga 69.72 Ga.upf
CELL_PARAMETERS angstrom
3.039 0.000 0.000
0.000 3.039 0.000
0.000 0.000 21.650
ATOMIC_POSITIONS angstrom
Mg 0.000 0.000 4.583
Mg 0.000 0.000 8.749
Mg 0.000 0.000 12.901
Mg 0.000 0.000 17.067
In 0.000 0.000 0.000
Ga 1.520 1.520 2.461
Ga 1.520 1.520 6.663
Ga 1.520 1.520 10.825
Ga 1.520 1.520 14.986
Ga 1.520 1.520 19.188
```

Computed properties:
E above lowest polymorph	0.0	kJ/mol of atoms
calculated formation energy	-0.092	eV per atom
DOS(E_F)	3.86	states/eV per cell

---

Record 3
## CaBeBPCF (PBE)

Data for a relaxed CaBeBPCF crystal. Values from VASP.

Geometry as Quantum ESPRESSO input:
```
&SYSTEM
  ibrav = 0, nat = 12, ntyp = 6
/
ATOMIC_SPECIES
Be 9.01 Be.upf
C 12.01 C.upf
B 10.81 B.upf
F 19.00 F.upf
Ca 40.08 Ca.upf
P 30.97 P.upf
CELL_PARAMETERS angstrom
7.757 0.000 -0.253
0.000 3.212 0.000
-4.775 0.000 7.023
ATOMIC_POSITIONS angstrom
Be 4.011 0.000 -0.060
Be 1.624 1.606 3.451
C 2.368 0.000 3.671
C 4.755 1.606 0.159
B 1.998 0.000 5.201
B 4.386 1.606 1.689
F -2.216 0.000 6.341
F 0.171 1.606 2.830
Ca -1.096 0.000 1.787
Ca -3.483 1.606 5.298
P 3.990 0.000 2.709
P 1.602 1.606 6.221
```

Computed properties:
E above lowest polymorph	0.0	kJ/mol of atoms
DOS(E_F)	2.51	states/eV per cell
formation energy (no corrections)	-0.844	eV per atom

---

Record 4
## Nd3MgAl2 (PBE)

Data for a relaxed Nd3MgAl2 crystal. Values from VASP.

Geometry as Quantum ESPRESSO input:
```
&SYSTEM
  ibrav = 0, nat = 12, ntyp = 3
/
ATOMIC_SPECIES
Nd 144.24 Nd.upf
Mg 24.30 Mg.upf
Al 26.98 Al.upf
CELL_PARAMETERS angstrom
-2.513 1.114 -4.577
4.755 -2.426 -0.088
-5.932 -11.643 0.423
ATOMIC_POSITIONS angstrom
Nd -0.141 -6.101 -1.408
Nd -0.548 -0.964 -3.048
Nd -4.492 -8.816 0.320
Nd -1.440 -2.827 0.103
Nd -3.142 -11.991 -1.194
Nd -3.549 -6.854 -2.834
Mg -1.640 -9.042 -1.301
Mg -2.051 -3.914 -2.941
Al -2.966 -5.822 0.211
Al 1.302 -3.268 -1.511
Al -4.992 -9.687 -2.731
Al 0.000 0.000 0.000
```

Computed properties:
E above lowest polymorph	0.0	kJ/mol of atoms
calculated formation energy	-0.288	eV per atom
DOS(E_F)	8.05	states/eV per cell

---

Record 5
## SiHgAu2 (PBE)

Data for a relaxed SiHgAu2 crystal. Values from VASP.

Geometry as Quantum ESPRESSO input:
```
&SYSTEM
  ibrav = 0, nat = 4, ntyp = 3
/
ATOMIC_SPECIES
Au 196.97 Au.upf
Hg 200.59 Hg.upf
Si 28.09 Si.upf
CELL_PARAMETERS angstrom
5.016 -0.154 0.000
1.365 4.830 0.000
-3.191 -2.338 3.089
ATOMIC_POSITIONS angstrom
Au 0.000 0.000 0.000
Au 3.191 2.338 0.000
Hg 0.683 2.415 1.544
Si 2.508 -0.077 1.544
```

Computed properties:
E above lowest polymorph	21.2	kJ/mol of atoms
DOS(E_F)	1.33	states/eV per cell
formation energy (no corrections)	0.284	eV per atom

---

Record 6
## TbSm5Sc (PBE)

Data for a relaxed TbSm5Sc crystal. Values from VASP.

Geometry as Quantum ESPRESSO input:
```
&SYSTEM
  ibrav = 0, nat = 7, ntyp = 3
/
ATOMIC_SPECIES
Tb 158.93 Tb.upf
Sm 150.36 Sm.upf
Sc 44.96 Sc.upf
CELL_PARAMETERS angstrom
10.302 0.000 0.000
0.000 6.603 0.000
-5.151 -3.301 3.346
ATOMIC_POSITIONS angstrom
Tb 5.883 0.000 0.000
Sm -0.796 0.000 1.490
Sm 7.031 3.301 0.000
Sm 4.355 3.301 1.857
Sm 2.343 5.101 0.000
Sm 2.343 1.502 0.000
Sc 10.064 3.301 0.000
```

Computed properties:
E above lowest polymorph	0.0	kJ/mol of atoms
calculated formation energy	0.243	eV per atom
DOS(E_F)	10.69	states/eV per cell

---

Record 7
## YLuS (PBE)

Data for a relaxed YLuS crystal. Values from VASP.

Geometry as Quantum ESPRESSO input:
```
&SYSTEM
  ibrav = 0, nat = 3, ntyp = 3
/
ATOMIC_SPECIES
Y 88.91 Y.upf
S 32.06 S.upf
Lu 174.97 Lu.upf
CELL_PARAMETERS angstrom
3.739 0.000 0.000
-1.869 3.238 0.000
0.000 0.000 6.204
ATOMIC_POSITIONS angstrom
Y 0.000 0.000 0.396
S 1.869 1.079 2.098
Lu 0.000 2.159 3.710
```

Computed properties:
DOS(E_F)	3.27	states/eV per cell
formation energy (no corrections)	-1.272	eV per atom

---

Record 8
## CePrEr (PBE)

Data for a relaxed CePrEr crystal. Values from VASP.

Geometry as Quantum ESPRESSO input:
```
&SYSTEM
  ibrav = 0, nat = 6, ntyp = 3
/
ATOMIC_SPECIES
Ce 140.12 Ce.upf
Pr 140.91 Pr.upf
Er 167.26 Er.upf
CELL_PARAMETERS angstrom
-5.720 -1.510 1.537
1.241 -2.014 2.644
-13.024 5.895 5.836
ATOMIC_POSITIONS angstrom
Ce -10.882 0.704 6.587
Ce -8.728 2.398 4.502
Pr -14.190 4.400 6.207
Pr -5.418 -1.297 4.882
Er -16.427 2.696 8.335
Er -3.182 0.406 2.753
```

Computed properties:
E above lowest polymorph	0.0	kJ/mol of atoms
calculated formation energy	0.040	eV per atom
DOS(E_F)	12.54	states/eV per cell

---

Record 9
## MgTe2Ru (PBE)

Data for a relaxed MgTe2Ru crystal. Values from VASP.

Geometry as Quantum ESPRESSO input:
```
&SYSTEM
  ibrav = 0, nat = 4, ntyp = 3
/
ATOMIC_SPECIES
Mg 24.30 Mg.upf
Ru 101.07 Ru.upf
Te 127.60 Te.upf
CELL_PARAMETERS angstrom
-2.977 -4.655 1.216
2.465 -4.974 -1.092
1.411 4.788 2.663
ATOMIC_POSITIONS angstrom
Mg -0.256 -4.814 0.062
Ru -0.911 -2.340 1.971
Te 0.000 0.000 0.000
Te 1.810 -2.500 0.817
```

Computed properties:
DOS(E_F)	3.42	states/eV per cell
formation energy (no corrections)	0.258	eV per atom

---

Record 10
## TmScCl6 (PBE)

Data for a relaxed TmScCl6 crystal. Values from VASP.

Geometry as Quantum ESPRESSO input:
```
&SYSTEM
  ibrav = 0, nat = 8, ntyp = 3
/
ATOMIC_SPECIES
Tm 168.93 Tm.upf
Sc 44.96 Sc.upf
Cl 35.45 Cl.upf
CELL_PARAMETERS angstrom
6.306 0.126 0.810
1.349 5.420 3.043
0.020 -0.247 7.078
ATOMIC_POSITIONS angstrom
Tm 3.828 2.773 1.926
Sc 0.000 0.000 0.000
Cl 5.309 1.957 6.905
Cl 4.932 0.589 2.863
Cl 2.744 4.711 8.068
Cl 2.366 3.342 4.026
Cl 5.783 4.182 2.907
Cl 1.873 1.364 0.946
```

Computed properties:
E above lowest polymorph	0.0	kJ/mol of atoms
DOS(E_F)	0.00	states/eV per cell
formation energy (no corrections)	-2.159	eV per atom

---

Record 11
## YSi2As (PBE)

Data for a relaxed YSi2As crystal. Values from VASP.

Geometry as Quantum ESPRESSO input:
```
&SYSTEM
  ibrav = 0, nat = 4, ntyp = 3
/
ATOMIC_SPECIES
As 74.92 As.upf
Si 28.09 Si.upf
Y 88.91 Y.upf
CELL_PARAMETERS angstrom
5.892 -0.008 0.010
-3.185 4.957 0.010
1.358 2.482 2.835
ATOMIC_POSITIONS angstrom
As -0.914 3.720 1.422
Si 0.000 0.000 0.000
Si 1.354 2.475 0.010
Y 3.625 1.237 1.422
```

Computed properties:
DOS(E_F)	1.87	states/eV per cell
formation energy (no corrections)	-0.242	eV per atom

---

Record 12
## CaZr2In (PBE)

Data for a relaxed CaZr2In crystal. Values from VASP.

Geometry as Quantum ESPRESSO input:
```
&SYSTEM
  ibrav = 0, nat = 4, ntyp = 3
/
ATOMIC_SPECIES
Ca 40.08 Ca.upf
Zr 91.22 Zr.upf
In 114.82 In.upf
CELL_PARAMETERS angstrom
5.225 0.000 0.000
2.613 4.525 0.000
2.613 1.508 4.266
ATOMIC_POSITIONS angstrom
Ca 5.225 3.017 2.133
Zr 0.000 0.000 0.000
Zr 2.613 1.508 1.067
In 7.838 4.525 3.200
```

Computed properties:
calculated formation energy	0.108	eV per atom
DOS(E_F)	2.26	states/eV per cell